# PBE AcMg2Ni9, relaxed
data_AcMg2Ni9
_cell_length_a 4.9572
_cell_length_b 4.9572
_cell_length_c 15.8611
_cell_angle_alpha 90.00
_cell_angle_beta 90.00
_cell_angle_gamma 120.00
_space_group_name_H-M_alt 'P 63/m m c'
_space_group_IT_number 194
_space_group_name_Hall '-P 6c 2c'
loop_
_atom_site_label
_atom_site_type_symbol
_atom_site_fract_x
_atom_site_fract_y
_atom_site_fract_z
_atom_site_occupancy
Ac1 Ac 0.3333 0.6667 0.2500 1
Mg1 Mg 0.3333 0.6667 0.0313 1
Ni1 Ni 0.0000 0.0000 0.0000 1
Ni2 Ni 0.0000 0.0000 0.2500 1
Ni3 Ni 0.1681 0.3361 0.6207 1
Ni4 Ni 0.3333 0.6667 0.7500 1
# Mass density in Mg/m³: 7.9
# Electronic total energy in eV per cell: -123.40
# Calculated formation energy in eV per formula unit: -2.4

=====

# PBE Ac4MgNi2, relaxed
data_Ac4MgNi2
_cell_length_a 5.794
_cell_length_b 12.317
_cell_length_c 13.611
_cell_angle_alpha 90.00
_cell_angle_beta 90.00
_cell_angle_gamma 90.00
_space_group_name_H-M_alt 'C m c m'
_space_group_IT_number 63
_space_group_name_Hall '-C 2c 2'
loop_
_atom_site_label
_atom_site_type_symbol
_atom_site_fract_x
_atom_site_fract_y
_atom_site_fract_z
_atom_site_occupancy
Ac1 Ac 0.000 0.000 0.000 1
Ac2 Ac 0.000 0.302 0.095 1
Ac3 Ac 0.000 0.384 0.750 1
Mg1 Mg 0.000 0.074 0.750 1
Ni1 Ni 0.000 0.207 0.602 1
# Mass density in Mg/m³: 7.2
# Energy above the lowest structure with this stoichiometry in meV per atom: 51
# Electronic total energy in eV per cell: -120.10
# Calculated formation energy in eV per formula unit: -0.4

=====

# PBE Ac12MgNi5, relaxed
data_Ac12MgNi5
_cell_length_a 10.372
_cell_length_b 10.699
_cell_length_c 10.891
_cell_angle_alpha 90.00
_cell_angle_beta 90.00
_cell_angle_gamma 90.00
_space_group_name_H-M_alt 'I m m m'
_space_group_IT_number 71
_space_group_name_Hall '-I 2 2'
loop_
_atom_site_label
_atom_site_type_symbol
_atom_site_fract_x
_atom_site_fract_y
_atom_site_fract_z
_atom_site_occupancy
Ac1 Ac 0.000 0.186 0.198 1
Ac2 Ac 0.187 0.500 0.176 1
Ac3 Ac 0.193 0.322 0.500 1
Mg1 Mg 0.000 0.000 0.500 1
Ni1 Ni 0.000 0.000 0.000 1
Ni2 Ni 0.000 0.374 0.000 1
Ni3 Ni 0.000 0.500 0.380 1
# Mass density in Mg/m³: 8.4
# Electronic total energy in eV per cell: -165.17
# Calculated formation energy in eV per formula unit: -2.8

=====

Which value of electronic total energy does entry 2 give?
-120.10 eV per cell